(1)
DFT (PBE-GGA) results for Ti6TeS12 after structural relaxation.

Summary:
Space-group type ... R-3m
Energy relative to the elements, uncorrected ... -0.8074 eV per atom

a b c (Å): 7.3199 7.3199 7.3199
angles (deg): 103.62 103.62 103.62
Positions (direct):
Ti 0.2450 0.2450 0.6484
Ti 0.2450 0.6484 0.2450
Ti 0.3516 0.7550 0.7550
Ti 0.6484 0.2450 0.2450
Ti 0.7550 0.3516 0.7550
Ti 0.7550 0.7550 0.3516
Te 0.0000 0.0000 0.0000
S 0.1266 0.5000 0.8734
S 0.1266 0.8734 0.5000
S 0.1770 0.4558 0.4558
S 0.4558 0.1770 0.4558
S 0.4558 0.4558 0.1770
S 0.5000 0.1266 0.8734
S 0.5000 0.8734 0.1266
S 0.5442 0.5442 0.8230
S 0.5442 0.8230 0.5442
S 0.8230 0.5442 0.5442
S 0.8734 0.1266 0.5000
S 0.8734 0.5000 0.1266

=====

(2)
DFT (PBE-GGA) results for Pu2MgRu after structural relaxation.

Summary:
Energy of formation from the pure elements ... -0.03 eV per atom
Space-group type ... P6_3/mmc

a b c (Å): 5.0256 5.0256 8.0754
angles (deg): 90.00 90.00 120.00
Positions (direct):
Pu 0.3333 0.6667 0.0727
Pu 0.3333 0.6667 0.4273
Pu 0.6667 0.3333 0.5727
Pu 0.6667 0.3333 0.9273
Mg 0.0000 0.0000 0.2500
Mg 0.0000 0.0000 0.7500
Ru 0.3333 0.6667 0.7500
Ru 0.6667 0.3333 0.2500

=====

(3)
DFT (PBE-GGA) results for Eu2PtN after structural relaxation.

Summary:
Space-group type ... R-3m
Energy relative to the elements, uncorrected ... -0.4023 eV per atom

a b c (Å): 8.6263 8.6263 8.6263
angles (deg): 23.19 23.19 23.19
Positions (direct):
Eu 0.1102 0.1102 0.1102
Eu 0.8898 0.8898 0.8898
Pt 0.0000 0.0000 0.0000
N 0.5000 0.5000 0.5000

=====

no.,total magnetic moment (μB per formula unit)
1,0.57
2,10.48
3,13.67